A plane-wave DFT calculation with PBE-GGA was carried out for CaZrBe2 after structural relaxation.

Cell: 4.649 4.649 4.649 Å, 60.00 60.00 60.00°
Element x y z (fractional)
Be 0.000 0.000 0.000
Be 0.250 0.250 0.250
Ca 0.500 0.500 0.500
Zr 0.750 0.750 0.750

formation energy = 0.778 eV per atom
ΔE to the lowest computed polymorph = 645.8 meV/atom
space group = F-43m (216)
DOS(E_F) = 1.20 states/eV per atom

---

A plane-wave DFT calculation with PBE-GGA was carried out for BIr3Se after structural relaxation.

Cell: 4.175 4.175 4.175 Å, 90.00 90.00 90.00°
Element x y z (fractional)
B 0.000 0.000 0.000
Ir 0.000 0.500 0.000
Ir 0.000 0.000 0.500
Ir 0.500 0.000 0.000
Se 0.500 0.500 0.500

formation energy without anion corrections = 0.5023 eV per atom
space group = Pm-3m (221)
DOS(E_F) = 0.74 states/eV per atom

---

| no. | calculated density (g/cm3) | final energy (eV per cell) |
| --- | --- | --- |
| 1 | 3.49 | -14.889 |
| 2 | 15.20 | -34.234 |